(1)
Here is a geometry-optimized BeSiB2Mo structure from Alexandria via LeMat-Bulk. Energies are from PBE-GGA.

```
BeSiB2Mo
1.0
3.447 0.000 0.000
0.000 4.976 0.000
0.000 0.000 3.447
Be Mo B Si
1 1 2 1
Cartesian
0.000 0.000 0.000
0.000 2.488 0.000
0.000 0.000 1.723
1.723 0.000 0.000
1.723 2.488 1.723
```

Results
For the density of states at the Fermi level, the calculation gives 2.693 states/eV per cell. The value obtained for the total energy is -5.5926 eV per atom. Its spin magnetization is 0.0 Bohr magnetons per cell.

(2)
Here is a geometry-optimized Ti2BeB4Mo2 structure from Alexandria via LeMat-Bulk. Energies are from PBE-GGA.

```
Ti2BeB4Mo2
1.0
5.107 0.069 0.100
-2.391 4.513 -0.100
-2.391 -1.679 4.190
Ti Be B Mo
2 1 4 2
Cartesian
0.163 3.000 1.023
0.163 -0.096 3.168
0.000 0.000 0.000
-2.391 3.020 0.934
-0.984 2.187 3.156
-2.391 -0.186 3.156
1.310 0.717 1.034
-3.265 1.935 2.793
-1.516 0.899 1.297
```

Results
For the density of states at the Fermi level, the calculation gives 4.410 states/eV per cell. The value obtained for the formation energy from the elements is 242.8 kJ/mol of formula units. Its spin magnetization is 0.0 Bohr magnetons per cell.

(3)
Here is a geometry-optimized BeBMoW2 structure from Alexandria via LeMat-Bulk. Energies are from PBE-GGA.

```
BeBMoW2
1.0
-0.595 -4.369 1.701
2.583 -1.432 -2.774
3.592 0.677 2.995
Be Mo B W
1 1 1 2
Cartesian
1.291 -0.716 -1.387
0.000 0.000 0.000
2.790 -2.562 0.961
1.796 0.338 1.498
-0.298 -2.184 0.850
```

Results
For the density of states at the Fermi level, the calculation gives 5.485 states/eV per cell. The value obtained for the formation energy from the elements is 1272.7 kJ/mol of formula units. Its spin magnetization is 0.0 Bohr magnetons per cell. The energy above the lowest structure with this stoichiometry comes out at 10.50 eV/f.u.

(4)
Here is a geometry-optimized BeBMoW2 structure from Alexandria via LeMat-Bulk. Energies are from PBE-GGA.

```
BeBMoW2
1.0
4.157 0.000 0.000
0.000 4.139 0.000
0.000 0.000 4.157
Be Mo B W
1 1 1 2
Cartesian
2.079 2.070 2.079
0.000 2.070 0.000
0.000 0.000 0.000
0.000 0.000 2.079
2.079 0.000 0.000
```

Results
For the density of states at the Fermi level, the calculation gives 4.549 states/eV per cell. The value obtained for the formation energy from the elements is 259.3 kJ/mol of formula units. Its spin magnetization is 0.0 Bohr magnetons per cell. The energy above the lowest structure with this stoichiometry comes out at 0.00 eV/f.u.

(5)
Here is a geometry-optimized Be3BN structure from Alexandria via LeMat-Bulk. Energies are from PBE-GGA.

```
Be3BN
1.0
-1.497 -1.666 2.738
3.205 -0.809 1.261
0.032 3.014 1.852
Be B N
3 1 1
Cartesian
1.603 -0.404 0.630
0.016 1.507 0.926
-0.749 -0.833 1.369
0.000 0.000 0.000
0.870 0.270 2.925
```

Results
For the density of states at the Fermi level, the calculation gives 2.314 states/eV per cell. Its spin magnetization is 0.0 Bohr magnetons per cell. The energy above the lowest structure with this stoichiometry comes out at 3.52 eV/f.u.

(6)
Here is a geometry-optimized Be3BN structure from Alexandria via LeMat-Bulk. Energies are from PBE-GGA.

```
Be3BN
1.0
-2.308 2.391 -0.583
-2.456 -2.183 0.767
0.167 0.949 3.234
Be B N
3 1 1
Cartesian
-1.228 -1.092 0.384
0.084 0.474 1.617
-1.154 1.196 -0.291
-2.298 0.579 1.709
0.000 0.000 0.000
```

Results
For the density of states at the Fermi level, the calculation gives 0.910 states/eV per cell. Its spin magnetization is 0.0 Bohr magnetons per cell. The energy above the lowest structure with this stoichiometry comes out at 0.00 eV/f.u.

(7)
Here is a geometry-optimized BeB2N structure from Alexandria via LeMat-Bulk. Energies are from PBE-GGA.

```
BeB2N
1.0
4.259 0.000 0.000
0.000 4.259 0.000
2.130 2.130 3.456
Be B N
2 4 2
Cartesian
2.130 2.130 0.000
2.130 4.259 1.728
3.510 1.065 0.864
0.749 3.195 0.864
3.195 2.879 2.592
5.324 5.640 2.592
0.000 0.000 0.000
4.259 2.130 1.728
```

Results
For the density of states at the Fermi level, the calculation gives 2.398 states/eV per cell. Its spin magnetization is 1.5 Bohr magnetons per cell. The energy above the lowest structure with this stoichiometry comes out at 0.00 eV/f.u.

(8)
Here is a geometry-optimized BeBN3 structure from Alexandria via LeMat-Bulk. Energies are from PBE-GGA.

```
BeBN3
1.0
-1.693 1.120 2.584
1.369 -2.307 1.896
2.461 2.053 0.722
Be B N
1 1 3
Cartesian
1.069 0.433 2.601
0.000 0.000 0.000
0.684 -1.154 0.948
1.230 1.027 0.361
-0.846 0.560 1.292
```

Results
For the density of states at the Fermi level, the calculation gives 3.291 states/eV per cell. The value obtained for the total energy is -5.4839 eV per atom. Its spin magnetization is 0.0 Bohr magnetons per cell.